DFT (PBE) results for a relaxed SmSi2Rh3 crystal.

abc: 15.9850 3.9884 9.7645
angles: 90.00 108.04 90.00
With the nearest neighbours (Å) after each atom.
Space group C2/m (No. 12)
Unique sites:
Sm: 0.0000 0.0000 0.0000 x2  6 Si 2.99-3.14, 6 Rh 3.04-3.09
Sm: 0.1600 0.0000 0.6996 x4  6 Si 3.08-3.12, 9 Rh 3.11-3.40
Si: 0.0344 0.5000 0.7751 x4  5 Rh 2.39-2.60
Si: 0.1383 0.5000 0.4461 x4  7 Rh 2.34-2.56
Si: 0.1959 0.0000 0.1276 x4  6 Rh 2.43-2.55
Rh: 0.0000 0.5000 0.5000 x2  4 Si 2.43-2.57
Rh: 0.0411 0.0000 0.3310 x4  4 Si 2.39-2.56
Rh: 0.1224 0.5000 0.1990 x4  4 Si 2.35-2.60
Rh: 0.1765 0.5000 0.9576 x4  4 Si 2.41-2.55
Rh: 0.2183 0.0000 0.3931 x4  4 Si 2.34-2.51

Calculated values
**Raw formation energy**: -978 meV/atom